Record 1
Here is crystalline KLuCdS3 at its relaxed geometry from the Open Quantum Materials Database. Energies are from PBE-GGA.

The density is 4.7 g/cm3. For the calculated total energy, the calculation gives -26.871 eV/f.u. The calculation puts the relative energy among the computed polymorphs at 0.33 eV per formula unit.

The space group is Pnma (No. 62) and the conventional cell measures 11.9306, 4.0449 and 12.2762 Å, with angles of 90.00, 90.00 and 90.00 degrees. The inequivalent atoms are K at (0.1453, 0.2500, 0.0054), Lu at (0.0405, 0.2500, 0.3402), Cd at (0.2359, 0.2500, 0.7151), S at (0.0492, 0.7500, 0.1860), S at (0.0859, 0.2500, 0.5710) and S at (0.2383, 0.7500, 0.8409).

Record 2
Here is crystalline ZnHgTeO at its relaxed geometry from the Open Quantum Materials Database. Energies are from PBE-GGA.

The density is 6.7 g/cm3. For the calculated total energy, the calculation gives -11.160 eV/f.u. The calculation puts the relative energy among the computed polymorphs at 0.90 eV per formula unit.

The space group is P2_12_12_1 (No. 19) and the conventional cell measures 6.6632, 7.4707 and 8.1521 Å, with angles of 90.00, 90.00 and 90.00 degrees. The inequivalent atoms are Zn at (0.1977, 0.0914, 0.0387), Hg at (0.2497, 0.3601, 0.5107), Te at (0.0648, 0.3525, 0.8582) and O at (0.0711, 0.8750, 0.0889).

Please write out number 2 again, unchanged.
Here is crystalline ZnHgTeO at its relaxed geometry from the Open Quantum Materials Database. Energies are from PBE-GGA.

The density is 6.7 g/cm3. For the calculated total energy, the calculation gives -11.160 eV/f.u. The calculation puts the relative energy among the computed polymorphs at 0.90 eV per formula unit.

The space group is P2_12_12_1 (No. 19) and the conventional cell measures 6.6632, 7.4707 and 8.1521 Å, with angles of 90.00, 90.00 and 90.00 degrees. The inequivalent atoms are Zn at (0.1977, 0.0914, 0.0387), Hg at (0.2497, 0.3601, 0.5107), Te at (0.0648, 0.3525, 0.8582) and O at (0.0711, 0.8750, 0.0889).